# 1
Here is crystalline NbPt4 at its relaxed geometry from Alexandria via LeMat-Bulk. Energies are from PBE-GGA.

Values from the calculation:
Formation energy from the elements ... 1216 meV/atom
Relative energy among the computed polymorphs ... 1711 meV/atom
SG ... No. 221

Unit cell a=4.8057 b=4.8057 c=4.8057 alpha=90.00 beta=90.00 gamma=90.00
Last column: nearest neighbours and their distance in Å.
Atoms (fractional coordinates):
Pt 0.0000 0.0000 0.0000  12 Pt 3.40
Pt 0.5000 0.0000 0.5000  2 Nb 2.40
Pt 0.5000 0.5000 0.0000  2 Nb 2.40
Pt 0.0000 0.5000 0.5000  2 Nb 2.40
Nb 0.5000 0.5000 0.5000  6 Pt 2.40

---

# 2
Here is crystalline Pu2NbPt at its relaxed geometry from Alexandria via LeMat-Bulk. Energies are from PBE-GGA.

Values from the calculation:
Formation energy from the elements ... -147 meV/atom
SG ... No. 123

Unit cell a=3.0165 b=5.2792 c=5.2792 alpha=90.00 beta=90.00 gamma=90.00
Last column: nearest neighbours and their distance in Å.
Atoms (fractional coordinates):
Pt 0.5000 0.5000 0.5000  2 Pt 3.02, 8 Pu 3.04
Pu 0.0000 0.5000 0.0000  2 Pu 3.02, 4 Nb 3.04, 4 Pt 3.04
Pu 0.0000 0.0000 0.5000  2 Pu 3.02, 4 Nb 3.04, 4 Pt 3.04
Nb 0.5000 0.0000 0.0000  2 Nb 3.02, 8 Pu 3.04

---

# 3
Here is crystalline Pu2NbSi4Pt3 at its relaxed geometry from Alexandria via LeMat-Bulk. Energies are from PBE-GGA.

Values from the calculation:
Uncorrected formation energy ... -797 meV per atom
SG ... No. 115

Unit cell a=4.1962 b=4.1962 c=10.2513 alpha=90.00 beta=90.00 gamma=90.00
Last column: nearest neighbours and their distance in Å.
Atoms (fractional coordinates):
Nb 0.5000 0.5000 0.5000  4 Si 2.57
Pt 0.0000 0.0000 0.5000  4 Si 2.57
Pt 0.5000 0.0000 0.8813  5 Si 2.42-2.43
Pt 0.0000 0.5000 0.1187  5 Si 2.42-2.43
Si 0.5000 0.5000 0.0000  4 Pt 2.43
Si 0.0000 0.5000 0.3544  3 Pt 2.42-2.57, 2 Nb 2.57
Si 0.5000 0.0000 0.6456  3 Pt 2.42-2.57, 2 Nb 2.57
Si 0.0000 0.0000 0.0000  4 Pt 2.43
Pu 0.0000 0.5000 0.7560  8 Si 3.18-3.26, 6 Pt 3.23-3.36, 2 Nb 3.36
Pu 0.5000 0.0000 0.2440  8 Si 3.18-3.26, 6 Pt 3.23-3.36, 2 Nb 3.36

---

# 4
Here is crystalline RbNb2Pt at its relaxed geometry from Alexandria via LeMat-Bulk. Energies are from PBE-GGA.

Values from the calculation:
Formation energy from the elements ... 1011 meV/atom
Relative energy among the computed polymorphs ... 0 meV/atom
SG ... No. 225

Unit cell a=4.7677 b=4.7677 c=4.7677 alpha=60.00 beta=60.00 gamma=60.00
Last column: nearest neighbours and their distance in Å.
Atoms (fractional coordinates):
Nb 0.2500 0.2500 0.2500  4 Pt 2.92, 4 Rb 2.92
Nb 0.7500 0.7500 0.7500  4 Rb 2.92, 4 Pt 2.92
Rb 0.0000 0.0000 0.0000  8 Nb 2.92
Pt 0.5000 0.5000 0.5000  8 Nb 2.92

---

# 5
Here is crystalline RbNb2Pt at its relaxed geometry from Alexandria via LeMat-Bulk. Energies are from PBE-GGA.

Values from the calculation:
Formation energy from the elements ... 1089 meV/atom
Relative energy among the computed polymorphs ... 78 meV/atom
SG ... No. 122

Unit cell a=4.8207 b=4.8207 c=10.1790 alpha=76.30 beta=76.30 gamma=90.00
Last column: nearest neighbours and their distance in Å.
Atoms (fractional coordinates):
Rb 0.5000 0.5000 0.0000  4 Nb 3.35, 4 Pt 3.41
Rb 0.2500 0.7500 0.5000  4 Nb 3.35, 4 Pt 3.41
Nb 0.9584 0.6250 0.2500  2 Nb 2.54, 2 Pt 2.71
Nb 0.7916 0.1250 0.2500  2 Nb 2.54, 2 Pt 2.71
Nb 0.8750 0.0416 0.7500  2 Nb 2.54, 2 Pt 2.71
Nb 0.3750 0.2084 0.7500  2 Nb 2.54, 2 Pt 2.71
Pt 0.0000 0.0000 0.0000  4 Nb 2.71
Pt 0.7500 0.2500 0.5000  4 Nb 2.71

---

# 6
Here is crystalline Rb2NbPt at its relaxed geometry from Alexandria via LeMat-Bulk. Energies are from PBE-GGA.

Values from the calculation:
Formation energy from the elements ... 1394 meV/atom
Relative energy among the computed polymorphs ... 606 meV/atom
SG ... No. 225

Unit cell a=5.7004 b=5.7004 c=5.7004 alpha=60.00 beta=60.00 gamma=60.00
Last column: nearest neighbours and their distance in Å.
Atoms (fractional coordinates):
Nb 0.0000 0.0000 0.0000  8 Rb 3.49
Rb 0.7500 0.7500 0.7500  4 Nb 3.49, 4 Pt 3.49
Rb 0.2500 0.2500 0.2500  4 Nb 3.49, 4 Pt 3.49
Pt 0.5000 0.5000 0.5000  8 Rb 3.49

---

# 7
Here is crystalline RbNb3Pt at its relaxed geometry from Alexandria via LeMat-Bulk. Energies are from PBE-GGA.

Values from the calculation:
Formation energy from the elements ... 1303 meV/atom
SG ... No. 221

Unit cell a=5.0852 b=5.0852 c=5.0852 alpha=90.00 beta=90.00 gamma=90.00
Last column: nearest neighbours and their distance in Å.
Atoms (fractional coordinates):
Nb 0.0000 0.0000 0.5000  2 Pt 2.54
Nb 0.0000 0.5000 0.0000  2 Pt 2.54
Nb 0.5000 0.0000 0.0000  2 Pt 2.54
Pt 0.0000 0.0000 0.0000  6 Nb 2.54
Rb 0.5000 0.5000 0.5000  12 Nb 3.60

---

# 8
Here is crystalline RbNbPt2 at its relaxed geometry from Alexandria via LeMat-Bulk. Energies are from PBE-GGA.

Values from the calculation:
Formation energy from the elements ... 399 meV/atom
Relative energy among the computed polymorphs ... 0 meV/atom
SG ... No. 122

Unit cell a=7.6879 b=7.6879 c=6.6812 alpha=54.88 beta=54.88 gamma=90.00
Last column: nearest neighbours and their distance in Å.
Atoms (fractional coordinates):
Pt 0.3750 0.2893 0.7500  2 Nb 2.50
Pt 0.8750 0.9607 0.7500  2 Nb 2.50
Pt 0.7107 0.1250 0.2500  2 Nb 2.50
Pt 0.0393 0.6250 0.2500  2 Nb 2.50
Nb 0.0000 0.0000 0.0000  4 Pt 2.50
Nb 0.7500 0.2500 0.5000  4 Pt 2.50
Rb 0.5000 0.5000 0.0000  8 Pt 3.36-3.71
Rb 0.2500 0.7500 0.5000  8 Pt 3.36-3.71

---

# 9
Here is crystalline Rb2NbPt at its relaxed geometry from Alexandria via LeMat-Bulk. Energies are from PBE-GGA.

Values from the calculation:
Formation energy from the elements ... 788 meV/atom
Relative energy among the computed polymorphs ... 0 meV/atom
SG ... No. 122

Unit cell a=12.6645 b=12.6645 c=9.3079 alpha=47.13 beta=47.13 gamma=90.00
Last column: nearest neighbours and their distance in Å.
Atoms (fractional coordinates):
Rb 0.7925 0.1250 0.2500  2 Pt 3.39
Rb 0.9575 0.6250 0.2500  2 Pt 3.39
Rb 0.3750 0.2075 0.7500  2 Pt 3.39
Rb 0.8750 0.0425 0.7500  2 Pt 3.39
Pt 0.7500 0.2500 0.5000  2 Nb 2.54
Pt 0.0000 0.0000 0.0000  2 Nb 2.54
Nb 0.2500 0.7500 0.5000  2 Pt 2.54
Nb 0.5000 0.5000 0.0000  2 Pt 2.54

---

# 10
Here is crystalline RbNbPt2 at its relaxed geometry from Alexandria via LeMat-Bulk. Energies are from PBE-GGA.

Values from the calculation:
Formation energy from the elements ... 613 meV/atom
Relative energy among the computed polymorphs ... 214 meV/atom
SG ... No. 225

Unit cell a=4.8724 b=4.8724 c=4.8724 alpha=60.00 beta=60.00 gamma=60.00
Last column: nearest neighbours and their distance in Å.
Atoms (fractional coordinates):
Pt 0.7500 0.7500 0.7500  4 Nb 2.98, 4 Rb 2.98
Pt 0.2500 0.2500 0.2500  4 Nb 2.98, 4 Rb 2.98
Nb 0.5000 0.5000 0.5000  8 Pt 2.98
Rb 0.0000 0.0000 0.0000  8 Pt 2.98

---

# 11
Here is crystalline Rb2NbPtS4 at its relaxed geometry from Alexandria via LeMat-Bulk. Energies are from PBE-GGA.

Values from the calculation:
Uncorrected formation energy ... -948 meV per atom
SG ... No. 70

Unit cell a=5.7818 b=7.4102 c=12.5213 alpha=84.83 beta=76.65 gamma=67.04
Last column: nearest neighbours and their distance in Å.
Atoms (fractional coordinates):
Nb 0.0000 0.0000 0.0000  4 S 2.32
Nb 0.7500 0.5000 0.5000  4 S 2.32
S 0.8344 0.6952 0.6089  1 Nb 2.32, 1 Pt 2.42
S 0.6115 0.1952 0.1089  1 Nb 2.32, 1 Pt 2.42
S 0.1933 0.1952 0.8911  1 Nb 2.32, 1 Pt 2.42
S 0.1385 0.3048 0.3911  1 Nb 2.32, 1 Pt 2.42
S 0.4704 0.6952 0.3911  1 Nb 2.32, 1 Pt 2.42
S 0.2796 0.8048 0.1089  1 Nb 2.32, 1 Pt 2.42
S 0.5567 0.3048 0.6089  1 Nb 2.32, 1 Pt 2.42
S 0.9156 0.8048 0.8911  1 Nb 2.32, 1 Pt 2.42
Rb 0.9285 0.5000 0.1431  8 S 3.52-3.71
Rb 0.5715 0.5000 0.8569  8 S 3.52-3.71
Rb 0.1785 0.0000 0.6431  8 S 3.52-3.71
Rb 0.8215 0.0000 0.3569  8 S 3.52-3.71
Pt 0.5000 0.0000 0.0000  4 S 2.42
Pt 0.2500 0.5000 0.5000  4 S 2.42

---

# 12
Here is crystalline Rb2SrNbPt at its relaxed geometry from Alexandria via LeMat-Bulk. Energies are from PBE-GGA.

Values from the calculation:
Formation energy from the elements ... 857 meV/atom
SG ... No. 123

Unit cell a=6.7336 b=4.9542 c=6.7336 alpha=90.00 beta=90.00 gamma=90.00
Last column: nearest neighbours and their distance in Å.
Atoms (fractional coordinates):
Sr 0.5000 0.5000 0.5000  8 Rb 4.18
Pt 0.0000 0.5000 0.0000  2 Nb 2.48
Rb 0.0000 0.0000 0.5000  2 Nb 3.37
Rb 0.5000 0.0000 0.0000  2 Nb 3.37
Nb 0.0000 0.0000 0.0000  2 Pt 2.48

---

- Number 6 is which compound?
  Rb2NbPt

---

Repeat the fifth record exactly.
Here is crystalline RbNb2Pt at its relaxed geometry from Alexandria via LeMat-Bulk. Energies are from PBE-GGA.

Values from the calculation:
Formation energy from the elements ... 1089 meV/atom
Relative energy among the computed polymorphs ... 78 meV/atom
SG ... No. 122

Unit cell a=4.8207 b=4.8207 c=10.1790 alpha=76.30 beta=76.30 gamma=90.00
Last column: nearest neighbours and their distance in Å.
Atoms (fractional coordinates):
Rb 0.5000 0.5000 0.0000  4 Nb 3.35, 4 Pt 3.41
Rb 0.2500 0.7500 0.5000  4 Nb 3.35, 4 Pt 3.41
Nb 0.9584 0.6250 0.2500  2 Nb 2.54, 2 Pt 2.71
Nb 0.7916 0.1250 0.2500  2 Nb 2.54, 2 Pt 2.71
Nb 0.8750 0.0416 0.7500  2 Nb 2.54, 2 Pt 2.71
Nb 0.3750 0.2084 0.7500  2 Nb 2.54, 2 Pt 2.71
Pt 0.0000 0.0000 0.0000  4 Nb 2.71
Pt 0.7500 0.2500 0.5000  4 Nb 2.71